[1]
Below is LiTb3Nd3Te8 after structural relaxation, with properties calculated at the PBE level.

extended XYZ file:
```
15
Lattice="4.408 2.545 7.239 -4.408 2.545 7.239 0.000 -5.090 7.239" Properties=species:S:1:pos:R:3 pbc="T T T"
Li 0.000 0.000 0.000
Tb -2.204 -1.272 7.239
Tb -2.204 1.272 14.477
Tb 0.000 2.545 7.239
Nd -4.408 0.000 10.858
Nd -2.204 1.272 3.619
Nd 2.204 1.272 3.619
Te 0.000 -2.535 8.987
Te -2.196 1.268 8.987
Te 0.000 0.000 5.494
Te -2.196 -1.268 12.728
Te 2.196 1.268 8.987
Te 0.000 0.000 16.221
Te 2.196 -1.268 12.729
Te 0.000 2.535 12.729
```

Summary:
Space-group type: R-3m
Formation energy from raw total energies: -20.58 eV per formula unit
Fermi-level density of states: 4.4 states/eV/f.u.
Magnetization: 0.0 μB per cell

---

[2]
Below is LiTb3Nd4Te8 after structural relaxation, with properties calculated at the PBE level.

extended XYZ file:
```
16
Lattice="4.409 2.546 7.276 -4.409 2.546 7.276 0.000 -5.091 7.276" Properties=species:S:1:pos:R:3 pbc="T T T"
Li 0.000 0.000 0.000
Tb -2.205 -1.273 7.276
Tb -2.205 1.273 14.553
Tb 0.000 2.546 7.276
Nd -4.409 0.000 10.915
Nd -2.205 1.273 3.638
Nd 2.205 1.273 3.638
Nd 0.000 0.000 10.915
Te 0.000 -2.601 8.983
Te -2.252 1.300 8.983
Te -2.252 -1.300 12.846
Te 0.000 0.000 5.531
Te 0.000 0.000 16.298
Te 2.252 1.300 8.983
Te 2.252 -1.300 12.846
Te 0.000 2.601 12.846
```

Summary:
Space-group type: R-3m
Formation energy from raw total energies: -21.90 eV per formula unit
Fermi-level density of states: 8.0 states/eV/f.u.
Magnetization: 0.0 μB per cell

---

[3]
Below is LiTbNd2Te5 after structural relaxation, with properties calculated at the PBE level.

extended XYZ file:
```
18
Lattice="2.207 -9.391 0.000 2.207 9.391 0.000 0.000 0.000 13.261" Properties=species:S:1:pos:R:3 pbc="T T T"
Li 2.207 8.311 6.631
Li 2.207 -8.311 0.000
Tb 2.207 3.717 0.597
Tb 2.207 -3.717 7.227
Nd 2.207 2.374 4.484
Nd 2.207 1.991 9.571
Nd 2.207 -1.991 2.940
Nd 2.207 -2.374 11.115
Te 2.207 9.358 10.859
Te 2.207 6.804 0.457
Te 2.207 5.855 5.052
Te 2.207 5.314 9.344
Te 2.207 0.887 1.441
Te 2.207 -0.887 8.072
Te 2.207 -5.314 2.714
Te 2.207 -5.855 11.683
Te 2.207 -6.804 7.088
Te 2.207 -9.358 4.229
```

Summary:
Space-group type: Cmc2_1
Formation energy from raw total energies: -11.91 eV per formula unit
Magnetization: 0.0 μB per cell

---

[4]
Below is Li4Tb3NdTe8 after structural relaxation, with properties calculated at the PBE level.

extended XYZ file:
```
16
Lattice="4.385 2.532 7.076 -4.385 2.532 7.076 0.000 -5.064 7.076" Properties=species:S:1:pos:R:3 pbc="T T T"
Li 0.000 0.000 0.000
Li -2.193 -1.266 7.076
Li -2.193 1.266 14.151
Li 0.000 2.532 7.076
Tb -4.385 0.000 10.614
Tb -2.193 1.266 3.538
Tb 2.193 1.266 3.538
Nd 0.000 0.000 10.614
Te 0.000 -2.575 8.785
Te -2.230 1.288 8.785
Te -2.230 -1.288 12.442
Te 0.000 0.000 5.343
Te 0.000 0.000 15.884
Te 2.230 1.288 8.785
Te 2.230 -1.288 12.442
Te 0.000 2.575 12.442
```

Summary:
Space-group type: R-3m
Formation energy from raw total energies: -20.72 eV per formula unit
Magnetization: 0.0 μB per cell

---

[5]
Below is LiTb2NdTe4 after structural relaxation, with properties calculated at the PBE level.

extended XYZ file:
```
8
Lattice="7.624 0.000 0.000 0.000 4.370 0.000 -2.505 0.000 7.206" Properties=species:S:1:pos:R:3 pbc="T T T"
Li 0.000 0.000 0.000
Tb 2.559 0.000 3.603
Tb 3.812 2.185 0.000
Nd -1.253 2.185 3.603
Te 1.282 2.185 1.736
Te 0.017 0.000 5.481
Te 5.102 0.000 1.725
Te 3.837 2.185 5.470
```

Summary:
Space-group type: P2/m
Formation energy from raw total energies: -10.73 eV per formula unit
Fermi-level density of states: 3.1 states/eV/f.u.
Magnetization: 0.0 μB per cell

---

[6]
Below is LiTb3Nd2Te6 after structural relaxation, with properties calculated at the PBE level.

extended XYZ file:
```
12
Lattice="9.621 -2.197 0.000 9.621 2.197 0.000 -2.047 0.000 8.589" Properties=species:S:1:pos:R:3 pbc="T T T"
Li 0.000 0.000 0.000
Tb -1.024 0.000 4.295
Tb 6.008 0.000 1.446
Tb 11.187 0.000 7.143
Nd 5.001 0.000 5.659
Nd 12.194 0.000 2.930
Te 2.965 0.000 0.639
Te 1.919 0.000 5.066
Te 9.084 0.000 2.085
Te 8.111 0.000 6.504
Te 15.276 0.000 3.523
Te 14.230 0.000 7.950
```

Summary:
Space-group type: C2/m
Formation energy from raw total energies: -16.31 eV per formula unit
Fermi-level density of states: 3.8 states/eV/f.u.
Magnetization: 0.0 μB per cell

---

- Which value of magnetization does entry 2 give?
  0.0 μB per cell

---

- Which formula does entry 6 have?
  LiTb3Nd2Te6

---

- Which formula does entry 3 have?
  LiTbNd2Te5

---

- Among the records above, which one has the lowest formation energy from raw total energies?
  LiTb3Nd4Te8